Entry 1:
Here is Ta2Cr after structural relaxation from Alexandria via LeMat-Bulk. Energies are from PBE.

Its space-group type is Cmcm. For the energy of formation, the calculation gives 0.00 eV per atom. The total magnetic moment comes out at 0.00 μB per cell.

```
6
Lattice="-0.1452 1.2216 -2.9181 -6.3642 2.3326 -0.4250 1.3859 4.0798 1.6390" Properties=species:S:1:pos:R:3 pbc="T T T"
Ta 0.0125 3.9318 -0.0730
Ta -5.1361 3.7022 -1.6312
Ta -2.7555 2.4598 -0.5514
Ta -2.3682 5.1743 -1.1527
Cr -0.8243 2.5222 -2.3398
Cr -4.2994 5.1118 0.6357
```

=====

Entry 2:
Here is TaCr after structural relaxation from Alexandria via LeMat-Bulk. Energies are from PBE.

Its space-group type is P6_3/mmc. For the energy of formation, the calculation gives 1.57 eV per atom. The total magnetic moment comes out at 1.70 μB per cell.

```
4
Lattice="4.2638 0.0000 0.0000 -2.1319 3.6925 0.0000 0.0000 0.0000 5.0755" Properties=species:S:1:pos:R:3 pbc="T T T"
Cr 2.1319 1.2308 3.8066
Cr 0.0000 2.4617 1.2689
Ta 0.0000 2.4617 3.8066
Ta 2.1319 1.2308 1.2689
```

=====

Entry 3:
Here is TaCr2 after structural relaxation from Alexandria via LeMat-Bulk. Energies are from PBE.

Its space-group type is I4_1/amd. For the energy of formation, the calculation gives 0.28 eV per atom. The total magnetic moment comes out at 0.00 μB per cell. As for the energy relative to the lowest polymorph listed for this composition: 411.8 meV per atom.

```
12
Lattice="13.6622 -0.0093 0.0000 12.7407 4.9327 0.0000 -13.2015 -2.4617 2.5136" Properties=species:S:1:pos:R:3 pbc="T T T"
Cr 9.0075 0.4012 1.2568
Cr -0.2212 1.2372 1.2568
Cr 11.0250 2.0559 0.0000
Cr 19.8114 3.6943 0.0000
Cr 15.3779 2.8676 0.0000
Cr 4.6547 -0.4105 1.2568
Cr 12.9618 3.6955 1.2568
Cr 6.5915 1.2291 0.0000
Ta 24.2583 4.5236 0.0000
Ta 2.1446 0.3999 0.0000
Ta 4.2257 2.0664 1.2568
Ta 8.5149 2.8663 1.2568
```